Version w
# LiDyBi

A geometry-optimized LiDyBi structure (PBE-GGA, Alexandria).

Unit cell a=4.201 b=4.201 c=9.021 alpha=90.00 beta=90.00 gamma=90.00
Space group I4mm (No. 107)
Unique sites:
Li  0.000  0.000  0.000 (multiplicity 2)
Dy  0.000  0.000  0.661 (multiplicity 2)
Bi  0.000  0.000  0.314 (multiplicity 2)

Calculated values
M_tot = 0.2 μB per formula unit

Version x
# LiDyBi

A geometry-optimized LiDyBi structure (PBE-GGA, Alexandria).

Unit cell a=7.472 b=4.541 c=13.098 alpha=90.00 beta=90.37 gamma=90.00
Space group P2_1/m (No. 11)
Unique sites:
Li  0.008  0.250  0.096 (multiplicity 2)
Li  0.175  0.250  0.450 (multiplicity 2)
Li  0.350  0.750  0.804 (multiplicity 2)
Dy  0.011  0.250  0.691 (multiplicity 2)
Dy  0.346  0.750  0.073 (multiplicity 2)
Dy  0.488  0.750  0.375 (multiplicity 2)
Bi  0.220  0.250  0.907 (multiplicity 2)
Bi  0.225  0.750  0.569 (multiplicity 2)
Bi  0.279  0.250  0.244 (multiplicity 2)

Calculated values
M_tot = 0.0 μB per formula unit

Version y
# LiDyBi

A geometry-optimized LiDyBi structure (PBE-GGA, Alexandria).

Unit cell a=4.5185 b=4.5185 c=4.1774 alpha=90.00 beta=90.00 gamma=120.00
Space group P-6m2 (No. 187)
Unique sites:
Li  0.0000  0.0000  0.0000 (multiplicity 1)
Dy  0.3333  0.6667  0.5000 (multiplicity 1)
Bi  0.6667  0.3333  0.0000 (multiplicity 1)

Calculated values
M_tot = 0.0 μB per formula unit

Stability order, top to bottom: version x, version y, version w

Version w
# Dy2LuBi

A geometry-optimized Dy2LuBi structure (PBE-GGA, Alexandria).

Unit cell a=4.176 b=4.176 c=6.712 alpha=90.00 beta=90.00 gamma=90.00
Space group P4/mmm (No. 123)
Unique sites:
Dy  0.000  0.000  0.243 (multiplicity 2)
Lu  0.500  0.500  0.500 (multiplicity 1)
Bi  0.500  0.500  0.000 (multiplicity 1)

Calculated values
M_tot = 0.0 μB per formula unit

Version x
# Dy2LuBi

A geometry-optimized Dy2LuBi structure (PBE-GGA, Alexandria).

Unit cell a=4.834 b=4.834 c=4.832 alpha=90.00 beta=90.00 gamma=90.00
Space group P4/mmm (No. 123)
Unique sites:
Dy  0.000  0.500  0.000 (multiplicity 2)
Lu  0.000  0.000  0.500 (multiplicity 1)
Bi  0.500  0.500  0.500 (multiplicity 1)

Calculated values
M_tot = 0.0 μB per formula unit

Stability order, top to bottom: version w, version x

Version w
# DyMgBi2

A geometry-optimized DyMgBi2 structure (PBE-GGA, Alexandria).

Unit cell a=6.236 b=6.258 c=12.653 alpha=89.85 beta=89.95 gamma=88.96
Space group P-1 (No. 2)
Unique sites:
Dy  0.250  0.250  0.025 (multiplicity 2)
Dy  0.250  0.250  0.525 (multiplicity 2)
Mg  0.251  0.749  0.255 (multiplicity 2)
Mg  0.251  0.751  0.755 (multiplicity 2)
Bi  0.249  0.250  0.272 (multiplicity 2)
Bi  0.249  0.251  0.772 (multiplicity 2)
Bi  0.250  0.750  0.004 (multiplicity 2)
Bi  0.250  0.750  0.504 (multiplicity 2)

Calculated values
M_tot = 0.0 μB per formula unit

Version x
# DyMgBi2

A geometry-optimized DyMgBi2 structure (PBE-GGA, Alexandria).

Unit cell a=4.4527 b=4.4527 c=21.3891 alpha=90.00 beta=90.00 gamma=120.00
Space group R-3m (No. 166, hexagonal axes)
Unique sites:
Dy  0.0000  0.0000  0.0000 (multiplicity 3)
Mg  0.0000  0.0000  0.5000 (multiplicity 3)
Bi  0.0000  0.0000  0.2462 (multiplicity 6)

Calculated values
M_tot = 0.0 μB per formula unit

Version y
# DyMgBi2

A geometry-optimized DyMgBi2 structure (PBE-GGA, Alexandria).

Unit cell a=4.057 b=4.057 c=6.878 alpha=90.00 beta=90.00 gamma=90.00
Space group P4/mmm (No. 123)
Unique sites:
Dy  0.000  0.000  0.000 (multiplicity 1)
Mg  0.000  0.000  0.500 (multiplicity 1)
Bi  0.500  0.500  0.248 (multiplicity 2)

Calculated values
M_tot = 0.0 μB per formula unit

Stability order, top to bottom: version y, version w, version x

Version w
# DyMgBi2

A geometry-optimized DyMgBi2 structure (PBE-GGA, Alexandria).

Unit cell a=7.691 b=7.691 c=7.691 alpha=90.00 beta=90.00 gamma=90.00
Space group Fm-3m (No. 225)
Unique sites:
Dy  0.000  0.000  0.000 (multiplicity 4)
Mg  0.000  0.000  0.500 (multiplicity 4)
Bi  0.250  0.250  0.250 (multiplicity 8)

Calculated values
M_tot = 0.0 μB per formula unit

Version x
# DyMgBi2

A geometry-optimized DyMgBi2 structure (PBE-GGA, Alexandria).

Unit cell a=4.5654 b=4.5654 c=20.7305 alpha=90.00 beta=90.00 gamma=120.00
Space group R3m (No. 160, hexagonal axes)
Unique sites:
Dy  0.0000  0.0000  0.0000 (multiplicity 3)
Mg  0.0000  0.0000  0.8293 (multiplicity 3)
Bi  0.0000  0.0000  0.4170 (multiplicity 3)
Bi  0.0000  0.0000  0.5820 (multiplicity 3)

Calculated values
M_tot = 0.0 μB per formula unit

Stability order, top to bottom: version x, version w

Version w
# DyMgBi2

A geometry-optimized DyMgBi2 structure (PBE-GGA, Alexandria).

Unit cell a=5.147 b=5.147 c=4.199 alpha=90.00 beta=90.00 gamma=90.00
Space group P4/mmm (No. 123)
Unique sites:
Dy  0.000  0.000  0.000 (multiplicity 1)
Mg  0.500  0.500  0.000 (multiplicity 1)
Bi  0.000  0.500  0.500 (multiplicity 2)

Calculated values
M_tot = 0.0 μB per formula unit

Version x
# DyMgBi2

A geometry-optimized DyMgBi2 structure (PBE-GGA, Alexandria).

Unit cell a=4.574 b=4.574 c=10.804 alpha=90.00 beta=90.00 gamma=90.00
Space group P4/nmm (No. 129, origin choice 2)
Unique sites:
Dy  0.250  0.250  0.222 (multiplicity 2)
Mg  0.250  0.750  0.500 (multiplicity 2)
Bi  0.250  0.250  0.690 (multiplicity 2)
Bi  0.250  0.750  0.000 (multiplicity 2)

Calculated values
M_tot = 0.0 μB per formula unit

Stability order, top to bottom: version x, version w

Version w
# Nd3DyBi2

A geometry-optimized Nd3DyBi2 structure (PBE-GGA, Alexandria).

Unit cell a=4.646 b=4.646 c=8.955 alpha=90.00 beta=90.00 gamma=90.00
Space group P-4m2 (No. 115)
Unique sites:
Nd  0.000  0.000  0.000 (multiplicity 1)
Nd  0.000  0.500  0.648 (multiplicity 2)
Dy  0.500  0.500  0.000 (multiplicity 1)
Bi  0.000  0.500  0.278 (multiplicity 2)

Calculated values
M_tot = 0.0 μB per formula unit

Version x
# Nd3DyBi2

A geometry-optimized Nd3DyBi2 structure (PBE-GGA, Alexandria).

Unit cell a=7.204 b=14.932 c=8.089 alpha=90.00 beta=90.00 gamma=90.00
Space group Ibam (No. 72)
Unique sites:
Nd  0.000  0.000  0.250 (multiplicity 4)
Nd  0.000  0.298  0.250 (multiplicity 8)
Dy  0.000  0.500  0.000 (multiplicity 4)
Bi  0.167  0.147  0.000 (multiplicity 8)

Calculated values
M_tot = 0.6 μB per formula unit

Stability order, top to bottom: version w, version x